1.
The following is a DFT calculation (PBE) of a geometry-optimized TbPmNdHg structure.

Unit cell a=3.699 b=3.699 c=8.939 alpha=90.00 beta=90.00 gamma=90.00
Sites, in units of the cell vectors:
Tb  0.500  0.500  0.355
Nd  0.000  0.000  0.076
Hg  0.000  0.000  0.562
Pm  0.500  0.500  0.791

Values from the calculation:
Magnetic moment   0.00 μB per cell
Energy above the most stable polymorph in this dataset   0.00 eV per formula unit
Energy relative to the elements   -232 meV/atom

=====

2.
The following is a DFT calculation (PBE) of a geometry-optimized Ac2PrErSe5 structure.

Unit cell a=5.113 b=5.113 c=11.124 alpha=90.00 beta=90.00 gamma=90.00
Sites, in units of the cell vectors:
Pr  0.000  0.000  0.000
Se  0.000  0.000  0.251
Se  0.000  0.000  0.749
Se  0.500  0.000  0.500
Se  0.000  0.500  0.500
Se  0.500  0.500  0.000
Ac  0.500  0.500  0.288
Ac  0.500  0.500  0.712
Er  0.000  0.000  0.500

Values from the calculation:
Magnetic moment   0.00 μB per cell
Raw formation energy   -146.7 kJ/mol of atoms

=====

3.
The following is a DFT calculation (PBE) of a geometry-optimized Li2AlSe structure.

Unit cell a=8.578 b=8.578 c=8.578 alpha=21.44 beta=21.44 gamma=21.44
Sites, in units of the cell vectors:
Al  0.250  0.250  0.250
Li  0.011  0.011  0.011
Li  0.489  0.489  0.489
Se  0.750  0.750  0.750

Values from the calculation:
Magnetic moment   0.01 μB per cell
Raw formation energy   -28.9 kJ/mol of atoms
Energy above the most stable polymorph in this dataset   0.92 eV per formula unit

=====

4.
The following is a DFT calculation (PBE) of a geometry-optimized Sm2Er2Tm5 structure.

Unit cell a=11.598 b=6.688 c=9.983 alpha=109.57 beta=125.51 gamma=90.00
Sites, in units of the cell vectors:
Tm  0.813  0.263  0.107
Tm  0.794  0.763  0.107
Tm  0.187  0.156  0.893
Tm  0.995  0.658  0.500
Tm  0.005  0.158  0.500
Tm  0.619  0.746  0.715
Tm  0.381  0.032  0.285
Tm  0.595  0.246  0.715
Tm  0.405  0.532  0.285
Tm  0.206  0.656  0.893
Er  0.000  0.001  0.000
Er  0.265  0.363  0.500
Er  0.735  0.863  0.500
Er  0.500  0.501  0.000
Sm  0.880  0.430  0.745
Sm  0.635  0.186  0.255
Sm  0.120  0.686  0.255
Sm  0.365  0.930  0.745

Values from the calculation:
Magnetic moment   0.00 μB per cell
Energy above the most stable polymorph in this dataset   1.40 eV per formula unit
Energy relative to the elements   222 meV/atom

=====

5.
The following is a DFT calculation (PBE) of a geometry-optimized Hf2ZrSb2 structure.

Unit cell a=7.756 b=7.756 c=3.741 alpha=90.00 beta=90.00 gamma=90.00
Sites, in units of the cell vectors:
Hf  0.350  0.150  0.500
Hf  0.650  0.850  0.500
Hf  0.850  0.350  0.500
Hf  0.150  0.650  0.500
Sb  0.354  0.854  0.000
Sb  0.854  0.646  0.000
Sb  0.646  0.146  0.000
Sb  0.146  0.354  0.000
Zr  0.500  0.500  0.000
Zr  0.000  0.000  0.000

Values from the calculation:
Magnetic moment   0.00 μB per cell
Raw formation energy   -47.7 kJ/mol of atoms

=====

6.
The following is a DFT calculation (PBE) of a geometry-optimized P2IrPt structure.

Unit cell a=3.828 b=4.049 c=4.163 alpha=93.68 beta=90.00 gamma=90.00
Sites, in units of the cell vectors:
P  0.000  0.916  0.060
P  0.000  0.584  0.440
Ir  0.500  0.750  0.750
Pt  0.500  0.250  0.250

Values from the calculation:
Magnetic moment   0.00 μB per cell
Energy above the most stable polymorph in this dataset   0.85 eV per formula unit
Energy relative to the elements   -173 meV/atom

=====

7.
The following is a DFT calculation (PBE) of a geometry-optimized K2PrBiSe4 structure.

Unit cell a=4.353 b=7.544 c=8.123 alpha=107.98 beta=90.00 gamma=90.00
Sites, in units of the cell vectors:
Se  0.000  0.261  0.788
Se  0.000  0.739  0.212
Se  0.500  0.764  0.788
Se  0.500  0.236  0.212
Bi  0.000  0.000  0.000
K  0.000  0.500  0.500
K  0.500  0.000  0.500
Pr  0.500  0.500  0.000

Values from the calculation:
Magnetic moment   0.00 μB per cell
Raw formation energy   -123.1 kJ/mol of atoms

=====

8.
The following is a DFT calculation (PBE) of a geometry-optimized Na3Tb2ThTe6 structure.

Unit cell a=7.662 b=7.662 c=8.064 alpha=99.11 beta=99.11 gamma=120.00
Sites, in units of the cell vectors:
Te  0.742  0.742  0.237
Te  0.079  0.416  0.238
Te  0.258  0.258  0.763
Te  0.921  0.584  0.762
Te  0.416  0.079  0.238
Te  0.584  0.921  0.762
Tb  0.333  0.667  0.000
Tb  0.667  0.333  0.000
Na  0.500  0.500  0.500
Na  0.834  0.166  0.500
Na  0.166  0.834  0.500
Th  0.000  0.000  0.000

Values from the calculation:
Magnetic moment   0.00 μB per cell
Raw formation energy   -119.9 kJ/mol of atoms

=====

9.
The following is a DFT calculation (PBE) of a geometry-optimized BeCr2Re structure.

Unit cell a=2.998 b=2.998 c=5.212 alpha=90.00 beta=90.00 gamma=90.00
Sites, in units of the cell vectors:
Cr  0.000  0.000  0.535
Cr  0.000  0.000  0.965
Be  0.500  0.500  0.750
Re  0.500  0.500  0.250

Values from the calculation:
Magnetic moment   0.00 μB per cell
Energy relative to the elements   20 meV/atom

=====

10.
The following is a DFT calculation (PBE) of a geometry-optimized LaPmAg structure.

Unit cell a=3.791 b=5.151 c=5.151 alpha=120.00 beta=90.00 gamma=90.00
Sites, in units of the cell vectors:
Pm  0.049  0.000  0.000
La  0.643  0.667  0.333
Ag  0.308  0.333  0.667

Values from the calculation:
Magnetic moment   0.00 μB per cell
Energy above the most stable polymorph in this dataset   0.37 eV per formula unit
Energy relative to the elements   -33 meV/atom

=====

11.
The following is a DFT calculation (PBE) of a geometry-optimized ReNiRu2 structure.

Unit cell a=2.697 b=2.697 c=7.442 alpha=90.00 beta=90.00 gamma=90.00
Sites, in units of the cell vectors:
Ru  0.500  0.500  0.254
Ru  0.000  0.000  0.007
Ni  0.000  0.000  0.502
Re  0.500  0.500  0.737

Values from the calculation:
Magnetic moment   0.00 μB per cell
Energy above the most stable polymorph in this dataset   0.24 eV per formula unit
Energy relative to the elements   119 meV/atom

=====

12.
The following is a DFT calculation (PBE) of a geometry-optimized DyHo3Th4 structure.

Unit cell a=3.422 b=11.340 c=8.861 alpha=129.78 beta=101.13 gamma=90.00
Sites, in units of the cell vectors:
Th  0.370  0.618  0.740
Th  0.370  0.123  0.740
Th  0.630  0.877  0.260
Th  0.630  0.382  0.260
Ho  0.000  0.500  0.000
Ho  0.765  0.765  0.531
Ho  0.235  0.235  0.469
Dy  0.500  0.000  0.000

Values from the calculation:
Magnetic moment   0.00 μB per cell
Energy relative to the elements   138 meV/atom

=====

13.
The following is a DFT calculation (PBE) of a geometry-optimized Rb4Ag3F10 structure.

Unit cell a=4.437 b=4.437 c=16.167 alpha=97.89 beta=97.89 gamma=90.00
Sites, in units of the cell vectors:
Ag  0.860  0.860  0.721
Ag  0.140  0.140  0.279
Ag  0.000  0.000  0.000
Rb  0.431  0.431  0.862
Rb  0.703  0.703  0.405
Rb  0.297  0.297  0.595
Rb  0.569  0.569  0.138
F  0.862  0.362  0.724
F  0.069  0.069  0.139
F  0.138  0.638  0.276
F  0.500  0.000  0.000
F  0.931  0.931  0.861
F  0.000  0.500  0.000
F  0.362  0.862  0.724
F  0.210  0.210  0.421
F  0.790  0.790  0.579
F  0.638  0.138  0.276

Values from the calculation:
Magnetic moment   0.00 μB per cell
Raw formation energy   -189.9 kJ/mol of atoms

=====

14.
The following is a DFT calculation (PBE) of a geometry-optimized RbSiPt3 structure.

Unit cell a=6.480 b=6.480 c=5.596 alpha=91.51 beta=91.51 gamma=55.41
Sites, in units of the cell vectors:
Pt  0.902  0.902  0.354
Pt  0.000  0.500  0.000
Pt  0.725  0.275  0.000
Pt  0.500  0.000  0.000
Pt  0.098  0.098  0.646
Pt  0.275  0.725  0.000
Rb  0.365  0.365  0.499
Rb  0.635  0.635  0.501
Si  0.114  0.114  0.219
Si  0.886  0.886  0.781

Values from the calculation:
Magnetic moment   0.00 μB per cell
Raw formation energy   -29.6 kJ/mol of atoms
Energy above the most stable polymorph in this dataset   0.00 eV per formula unit

=====

15.
The following is a DFT calculation (PBE) of a geometry-optimized Rb2Mg3Sn5 structure.

Unit cell a=7.054 b=10.089 c=10.089 alpha=77.67 beta=69.54 gamma=69.54
Sites, in units of the cell vectors:
Sn  0.508  0.242  0.242
Sn  0.992  0.758  0.758
Sn  0.492  0.758  0.758
Sn  0.882  0.980  0.257
Sn  0.750  0.500  0.500
Sn  0.008  0.242  0.242
Sn  0.618  0.743  0.020
Sn  0.118  0.020  0.743
Sn  0.250  0.500  0.500
Sn  0.382  0.257  0.980
Rb  0.873  0.383  0.871
Rb  0.373  0.871  0.383
Rb  0.627  0.129  0.617
Rb  0.127  0.617  0.129
Mg  0.250  0.000  0.000
Mg  0.127  0.244  0.502
Mg  0.750  0.000  0.000
Mg  0.627  0.502  0.244
Mg  0.873  0.756  0.498
Mg  0.373  0.498  0.756

Values from the calculation:
Magnetic moment   0.00 μB per cell
Energy relative to the elements   -185 meV/atom

=====

16.
The following is a DFT calculation (PBE) of a geometry-optimized GeIrF2 structure.

Unit cell a=4.253 b=4.253 c=4.253 alpha=60.00 beta=60.00 gamma=60.00
Each line ends with the local moment (μB).
Sites, in units of the cell vectors:
F  0.750  0.750  0.750  0.10
F  0.250  0.250  0.250  0.10
Ge  0.000  0.000  0.000  -0.03
Ir  0.500  0.500  0.500  1.41

Values from the calculation:
Magnetic moment   1.60 μB per cell
Raw formation energy   0.5 kJ/mol of atoms
Energy above the most stable polymorph in this dataset   3.24 eV per formula unit

=====

17.
The following is a DFT calculation (PBE) of a geometry-optimized Ac4AgIrBr2 structure.

Unit cell a=4.469 b=7.847 c=8.650 alpha=107.91 beta=90.00 gamma=90.00
Sites, in units of the cell vectors:
Ac  0.500  0.258  0.201
Ac  0.000  0.281  0.803
Ac  0.000  0.719  0.197
Ac  0.500  0.742  0.799
Ag  0.000  0.000  0.000
Br  0.000  0.500  0.500
Br  0.500  0.000  0.500
Ir  0.500  0.500  0.000

Values from the calculation:
Magnetic moment   0.00 μB per cell
Raw formation energy   -92.2 kJ/mol of atoms

=====

18.
The following is a DFT calculation (PBE) of a geometry-optimized AlC2O2 structure.

Unit cell a=4.155 b=4.155 c=3.911 alpha=57.91 beta=57.91 gamma=90.00
Sites, in units of the cell vectors:
O  0.750  0.250  0.500
O  0.250  0.750  0.500
C  0.368  0.368  0.263
C  0.632  0.632  0.737
Al  0.000  0.000  0.000

Values from the calculation:
Magnetic moment   0.00 μB per cell
Raw formation energy   83.6 kJ/mol of atoms
Energy above the most stable polymorph in this dataset   1.52 eV per formula unit

=====

19.
The following is a DFT calculation (PBE) of a geometry-optimized AlAgW structure.

Unit cell a=6.913 b=6.779 c=2.761 alpha=81.11 beta=75.64 gamma=23.24
Sites, in units of the cell vectors:
Ag  0.995  0.995  0.005
W  0.675  0.675  0.325
Al  0.330  0.330  0.670

Values from the calculation:
Magnetic moment   0.00 μB per cell
Energy above the most stable polymorph in this dataset   0.68 eV per formula unit
Energy relative to the elements   191 meV/atom

=====

20.
The following is a DFT calculation (PBE) of a geometry-optimized La2CoSb structure.

Unit cell a=6.378 b=6.378 c=6.378 alpha=41.21 beta=41.21 gamma=41.21
Sites, in units of the cell vectors:
La  0.227  0.227  0.227
La  0.014  0.014  0.014
Co  0.809  0.809  0.809
Sb  0.449  0.449  0.449

Values from the calculation:
Magnetic moment   0.00 μB per cell
Raw formation energy   -42.3 kJ/mol of atoms
Energy above the most stable polymorph in this dataset   0.44 eV per formula unit

=====

21.
The following is a DFT calculation (PBE) of a geometry-optimized Ta2InAuF structure.

Unit cell a=4.297 b=5.060 c=4.297 alpha=90.00 beta=90.00 gamma=90.00
Sites, in units of the cell vectors:
Ta  0.000  0.000  0.500
Ta  0.500  0.000  0.000
In  0.000  0.500  0.000
F  0.000  0.000  0.000
Au  0.500  0.500  0.500

Values from the calculation:
Magnetic moment   0.00 μB per cell
Raw formation energy   18.1 kJ/mol of atoms

=====

22.
The following is a DFT calculation (PBE) of a geometry-optimized NdZrS4 structure.

Unit cell a=3.967 b=6.393 c=6.393 alpha=90.59 beta=90.00 gamma=90.00
Sites, in units of the cell vectors:
Zr  0.000  0.500  0.500
S  0.000  0.218  0.218
S  0.500  0.315  0.685
S  0.500  0.685  0.315
S  0.000  0.782  0.782
Nd  0.500  0.000  0.000

Values from the calculation:
Magnetic moment   0.00 μB per cell
Raw formation energy   -128.5 kJ/mol of atoms

=====

23.
The following is a DFT calculation (PBE) of a geometry-optimized TbNdY2As4 structure.

Unit cell a=4.168 b=7.213 c=7.215 alpha=70.53 beta=90.00 gamma=90.00
Sites, in units of the cell vectors:
As  0.500  0.247  0.748
As  0.500  0.753  0.252
As  0.000  0.756  0.744
As  0.000  0.244  0.256
Y  0.500  0.000  0.500
Y  0.000  0.000  0.000
Nd  0.500  0.500  0.000
Tb  0.000  0.500  0.500

Values from the calculation:
Magnetic moment   0.00 μB per cell
Energy relative to the elements   -1537 meV/atom

=====

24.
The following is a DFT calculation (PBE) of a geometry-optimized CaRhSe2 structure.

Unit cell a=4.645 b=5.448 c=4.075 alpha=68.07 beta=90.00 gamma=90.00
Sites, in units of the cell vectors:
Ca  0.000  0.423  0.601
Se  0.500  0.253  0.186
Se  0.000  0.836  0.895
Rh  0.500  0.988  0.819

Values from the calculation:
Magnetic moment   0.00 μB per cell
Raw formation energy   -86.2 kJ/mol of atoms
Energy above the most stable polymorph in this dataset   0.07 eV per formula unit

=====

25.
The following is a DFT calculation (PBE) of a geometry-optimized Ta2CrRuN structure.

Unit cell a=4.271 b=4.271 c=3.748 alpha=90.00 beta=90.00 gamma=90.00
Each line ends with the local moment (μB).
Sites, in units of the cell vectors:
Ta  0.000  0.500  0.000  -0.01
Ta  0.500  0.000  0.000  -0.01
N  0.000  0.000  0.000  -0.01
Cr  0.000  0.000  0.500  0.87
Ru  0.500  0.500  0.500  0.06

Values from the calculation:
Magnetic moment   0.94 μB per cell
Raw formation energy   -44.2 kJ/mol of atoms